# 1
First-principles (PBE) data for a geometry-optimized RbGaAu structure, as listed in OQMD.

Unit cell a=4.8119 b=4.8133 c=7.8160 alpha=90.00 beta=90.00 gamma=90.00
Last column: nearest neighbours and their distance in Å.
Atoms (fractional coordinates):
Rb: 0.2500 0.2500 0.1491  4 Ga 3.65, 6 Au 3.75-3.91
Rb: 0.7500 0.7500 0.8509  4 Ga 3.65, 6 Au 3.75-3.91
Ga: 0.2500 0.7500 0.4993  4 Au 2.67
Ga: 0.7500 0.2500 0.5007  4 Au 2.67
Au: 0.2500 0.2500 0.6483  4 Ga 2.67
Au: 0.7500 0.7500 0.3517  4 Ga 2.67

Values from the calculation:
Electronic total energy, eV per atom: -2.69
Energy above the most stable polymorph in this dataset, kJ/mol of atoms: 0.0

# 2
First-principles (PBE) data for a geometry-optimized MgGaFeBi structure, as listed in OQMD.

Unit cell a=4.8126 b=4.8126 c=4.8126 alpha=60.00 beta=60.00 gamma=60.00
Last column: nearest neighbours and their distance in Å.
Atoms (fractional coordinates):
Mg: 0.0000 0.0000 0.0000  4 Ga 2.95, 4 Bi 2.95
Ga: 0.7500 0.7500 0.7500  4 Fe 2.95, 4 Mg 2.95
Fe: 0.5000 0.5000 0.5000  4 Bi 2.95, 4 Ga 2.95
Bi: 0.2500 0.2500 0.2500  4 Fe 2.95, 4 Mg 2.95

Values from the calculation:
Electronic total energy, eV per atom: -3.93
Energy above the most stable polymorph in this dataset, kJ/mol of atoms: 0.0

# 3
First-principles (PBE) data for a geometry-optimized Dy4SiCl5 structure, as listed in OQMD.

Unit cell a=8.9511 b=8.9511 c=8.0647 alpha=102.24 beta=102.24 gamma=25.39
Last column: nearest neighbours and their distance in Å.
Atoms (fractional coordinates):
Dy: 0.0000 0.0000 0.2305  2 Si 2.71, 4 Cl 2.82-2.96
Dy: 0.0000 0.0000 0.7695  2 Si 2.71, 4 Cl 2.82-2.96
Dy: 0.3456 0.3456 0.9167  1 Si 2.63, 5 Cl 2.73-2.94
Dy: 0.6544 0.6544 0.0833  1 Si 2.63, 5 Cl 2.73-2.94
Si: 0.5000 0.5000 0.0000  6 Dy 2.63-2.71
Cl: 0.1656 0.1656 0.3219  3 Dy 2.73-2.82
Cl: 0.1734 0.1734 0.8488  4 Dy 2.80-2.96
Cl: 0.5000 0.5000 0.5000  4 Dy 2.93
Cl: 0.8266 0.8266 0.1512  4 Dy 2.80-2.96
Cl: 0.8344 0.8344 0.6781  3 Dy 2.73-2.82

Values from the calculation:
Electronic total energy, eV per atom: -5.00

# 4
First-principles (PBE) data for a geometry-optimized AcDyCd structure, as listed in OQMD.

Unit cell a=5.3785 b=5.3785 c=5.3785 alpha=60.00 beta=60.00 gamma=60.00
Last column: nearest neighbours and their distance in Å.
Atoms (fractional coordinates):
Ac: 0.0000 0.0000 0.0000  4 Cd 3.29, 4 Dy 3.29
Dy: 0.2500 0.2500 0.2500  4 Ac 3.29
Cd: 0.7500 0.7500 0.7500  4 Ac 3.29

Values from the calculation:
Electronic total energy, eV per atom: -2.62
Energy above the most stable polymorph in this dataset, kJ/mol of atoms: 16.2

# 5
First-principles (PBE) data for a geometry-optimized PmCoB structure, as listed in OQMD.

Unit cell a=4.3595 b=4.3595 c=4.3595 alpha=60.00 beta=60.00 gamma=60.00
Last column: nearest neighbours and their distance in Å.
Atoms (fractional coordinates):
Pm: 0.0000 0.0000 0.0000  4 B 2.67, 4 Co 2.67
Co: 0.2500 0.2500 0.2500  4 Pm 2.67
B: 0.7500 0.7500 0.7500  4 Pm 2.67

Values from the calculation:
Electronic total energy, eV per atom: -4.93
Energy above the most stable polymorph in this dataset, kJ/mol of atoms: 87.1

# 6
First-principles (PBE) data for a geometry-optimized GdBeNb structure, as listed in OQMD.

Unit cell a=4.4214 b=4.4214 c=4.4214 alpha=60.00 beta=60.00 gamma=60.00
Last column: nearest neighbours and their distance in Å.
Atoms (fractional coordinates):
Gd: 0.0000 0.0000 0.0000  4 Be 2.71
Be: 0.2500 0.2500 0.2500  4 Nb 2.71, 4 Gd 2.71
Nb: 0.5000 0.5000 0.5000  4 Be 2.71

Values from the calculation:
Electronic total energy, eV per atom: -5.58
Energy above the most stable polymorph in this dataset, kJ/mol of atoms: 0.0